K3Cr2BiO8 | the Alexandria database | PBE+U | relaxed; space-group type = P-3m1 (164); crystal system = trigonal; uncorrected energy = -83.1 eV per cell
1.0
6.016 0.000 0.000
-3.008 5.210 0.000
0.000 0.000 7.769
K Cr Bi O
3 2 1 8
direct
0.000 0.000 0.000
0.333 0.667 0.685
0.667 0.333 0.315
0.333 0.667 0.233
0.667 0.333 0.767
0.000 0.000 0.500
0.176 0.351 0.314
0.176 0.824 0.314
0.333 0.667 0.019
0.351 0.176 0.686
0.649 0.824 0.314
0.667 0.333 0.981
0.824 0.176 0.686
0.824 0.649 0.686

***

K2Cr2BiO7 | the Alexandria database | PBE+U | relaxed; space-group type = R32 (155); crystal system = trigonal; uncorrected energy = -73.2 eV per cell
1.0
3.043 1.757 7.481
-3.043 1.757 7.481
0.000 -3.514 7.481
K Cr Bi O
2 2 1 7
direct
0.238 0.238 0.238
0.762 0.762 0.762
0.080 0.080 0.080
0.920 0.920 0.920
0.500 0.500 0.500
0.000 0.000 0.000
0.205 0.713 0.765
0.235 0.287 0.795
0.287 0.795 0.235
0.713 0.765 0.205
0.765 0.205 0.713
0.795 0.235 0.287

***

Look up the uncorrected energy of the second one.
-73.2 eV per cell

***

What is the uncorrected energy in the second record?
-73.2 eV per cell